No. 1
Here is Sr2SmAg2Se4 after structural relaxation from Alexandria via LeMat-Bulk. Energies are from PBE.

```
Sr2SmAg2Se4
1.0
4.121 0.000 0.000
0.000 7.913 -0.119
-2.060 -3.234 7.263
Se Ag Sm Sr
4 2 1 2
direct
0.514 0.737 0.028 Se
0.801 0.745 0.602 Se
0.486 0.263 0.972 Se
0.199 0.255 0.398 Se
0.312 0.990 0.625 Ag
0.688 0.010 0.375 Ag
0.000 0.000 0.000 Sm
0.864 0.416 0.728 Sr
0.136 0.584 0.272 Sr
```

Output
As for the crystal system: monoclinic. As for the space-group type: No. 12.

No. 2
Here is SrSm2AgSe4 after structural relaxation from Alexandria via LeMat-Bulk. Energies are from PBE.

```
SrSm2AgSe4
1.0
-1.099 3.969 -0.844
-1.973 -4.011 -5.826
-13.130 -2.348 6.062
Sm Se Ag Sr
4 8 2 2
direct
0.374 0.749 0.562 Sm
0.626 0.251 0.062 Sm
0.374 0.749 0.938 Sm
0.626 0.251 0.438 Sm
0.726 0.452 0.885 Se
0.726 0.452 0.615 Se
0.274 0.548 0.115 Se
0.464 0.929 0.750 Se
0.536 0.071 0.250 Se
0.274 0.548 0.385 Se
0.000 0.000 0.500 Se
0.000 0.000 0.000 Se
0.853 0.706 0.750 Ag
0.147 0.294 0.250 Ag
0.871 0.742 0.250 Sr
0.129 0.258 0.750 Sr
```

Output
As for the crystal system: orthorhombic. As for the space-group type: No. 63.

No. 3
Here is Tb2SmAg3Se6 after structural relaxation from Alexandria via LeMat-Bulk. Energies are from PBE.

```
Tb2SmAg3Se6
1.0
4.217 0.000 0.000
0.000 8.057 0.556
-2.109 -2.064 8.614
Tb Ag Se Sm
2 3 6 1
direct
0.833 0.662 0.666 Tb
0.167 0.338 0.334 Tb
0.163 0.845 0.325 Ag
0.837 0.155 0.675 Ag
0.500 0.500 0.000 Ag
0.668 0.585 0.336 Se
0.332 0.415 0.664 Se
0.999 0.747 0.998 Se
0.668 0.091 0.336 Se
0.001 0.253 0.002 Se
0.332 0.909 0.664 Se
0.500 0.000 0.000 Sm
```

Output
As for the crystal system: monoclinic. As for the space-group type: No. 12.

No. 4
Here is TbSm2Ag3Se6 after structural relaxation from Alexandria via LeMat-Bulk. Energies are from PBE.

```
TbSm2Ag3Se6
1.0
-0.907 -1.035 4.015
7.782 0.978 2.009
-2.403 8.754 -0.531
Se Ag Sm Tb
6 3 2 1
direct
0.001 0.755 0.002 Se
0.665 0.579 0.330 Se
0.999 0.245 0.998 Se
0.665 0.077 0.331 Se
0.335 0.421 0.670 Se
0.335 0.923 0.669 Se
0.829 0.180 0.657 Ag
0.500 0.500 0.000 Ag
0.171 0.820 0.343 Ag
0.833 0.673 0.666 Sm
0.167 0.327 0.334 Sm
0.500 0.000 0.000 Tb
```

Output
As for the crystal system: monoclinic. As for the space-group type: No. 12.

No. 5
Here is SmAgTeSe after structural relaxation from Alexandria via LeMat-Bulk. Energies are from PBE.

```
SmAgTeSe
1.0
-0.251 0.663 4.656
3.871 -0.415 2.650
3.491 11.649 0.911
Se Sm Ag Te
2 2 2 2
direct
0.304 0.304 0.089 Se
0.696 0.696 0.911 Se
0.612 0.612 0.165 Sm
0.388 0.388 0.835 Sm
0.192 0.192 0.425 Ag
0.808 0.808 0.575 Ag
0.111 0.111 0.667 Te
0.889 0.889 0.333 Te
```

Output
As for the crystal system: trigonal. As for the space-group type: No. 166.

No. 6
Here is Sm8AgTe4Se3 after structural relaxation from Alexandria via LeMat-Bulk. Energies are from PBE.

```
Sm8AgTe4Se3
1.0
-7.277 -1.088 4.465
4.270 -4.957 5.752
2.851 7.937 -1.715
Sm Se Ag Te
8 3 1 4
direct
0.739 0.719 0.478 Sm
0.245 0.729 0.984 Sm
0.755 0.272 0.511 Sm
0.739 0.729 0.984 Sm
0.755 0.271 0.016 Sm
0.261 0.281 0.522 Sm
0.245 0.728 0.489 Sm
0.261 0.271 0.016 Sm
0.500 0.500 0.000 Se
0.000 0.500 0.500 Se
0.500 0.500 0.500 Se
0.000 0.500 0.000 Ag
0.000 0.000 0.000 Te
0.500 0.000 0.000 Te
0.000 0.000 0.500 Te
0.500 0.000 0.500 Te
```

Output
As for the crystal system: monoclinic. As for the space-group type: No. 12.

No. 7
Here is Sm4AgTe2Se after structural relaxation from Alexandria via LeMat-Bulk. Energies are from PBE.

```
Sm4AgTe2Se
1.0
4.256 0.000 0.000
0.000 7.572 -0.201
0.000 2.619 7.140
Sm Se Te Ag
4 1 2 1
direct
0.500 0.266 0.746 Sm
0.000 0.731 0.763 Sm
0.500 0.734 0.254 Sm
0.000 0.269 0.237 Sm
0.500 0.500 0.000 Se
0.500 0.000 0.500 Te
0.000 0.000 0.000 Te
0.000 0.500 0.500 Ag
```

Output
As for the crystal system: monoclinic. As for the space-group type: No. 10.

No. 8
Here is Sm4AgTeSe2 after structural relaxation from Alexandria via LeMat-Bulk. Energies are from PBE.

```
Sm4AgTeSe2
1.0
4.195 0.000 0.000
0.000 7.536 -0.249
0.000 2.553 6.908
Sm Se Ag Te
4 2 1 1
direct
0.000 0.229 0.262 Sm
0.500 0.764 0.249 Sm
0.000 0.771 0.738 Sm
0.500 0.236 0.751 Sm
0.000 0.000 0.000 Se
0.500 0.000 0.500 Se
0.000 0.500 0.500 Ag
0.500 0.500 0.000 Te
```

Output
As for the crystal system: monoclinic. As for the space-group type: No. 10.

The records above give, respectively, energy relative to the elements, uncorrected values of -1.285; -1.562; -1.165; -1.163; -1.075; -1.417; -1.198; -1.296 eV per atom.